# 1
{"formula": "InMoOs2", "functional": "PBE", "state": "optimized geometry", "lattice_angstrom": [[2.819, 0.006, 0.000], [-1.235, 2.535, 0.000], [0.000, 0.000, 9.153]], "species": ["Mo", "Os", "In", "Os"], "fractional_positions": [[0.500, 0.500, 0.750], [0.000, 0.000, 0.513], [0.500, 0.500, 0.250], [0.000, 0.000, 0.987]], "spacegroup": "No. 65", "ef_ev_per_atom": 0.55, "dft_energy_ev_per_cell": -33.840}



# 2
{"formula": "LiPrGa2", "functional": "PBE", "state": "optimized geometry", "lattice_angstrom": [[-1.480, 0.905, 4.001], [1.564, -2.168, 3.446], [3.801, 3.212, 3.056]], "species": ["Ga", "Li", "Ga", "Pr"], "fractional_positions": [[0.791, 0.791, 0.626], [0.500, 0.500, 0.500], [0.209, 0.209, 0.374], [0.000, 0.000, 0.000]], "de_polymorph_ev_per_fu": 0.00, "spacegroup": "No. 166", "ef_ev_per_atom": -0.48, "dft_energy_ev_per_cell": -14.677}



# 3
{"formula": "YTm3S4", "functional": "PBE", "state": "optimized geometry", "lattice_angstrom": [[-0.044, -0.904, -3.719], [6.249, -2.385, 0.505], [-4.344, -4.954, 1.256]], "species": ["S", "Tm", "Y", "S", "Tm", "S", "Tm", "S"], "fractional_positions": [[0.500, 0.748, 0.252], [0.500, 0.500, 0.500], [0.500, 0.000, 0.000], [0.500, 0.252, 0.748], [0.000, 0.500, 0.000], [0.000, 0.745, 0.745], [0.000, 0.000, 0.500], [0.000, 0.255, 0.255]], "de_polymorph_ev_per_fu": 0.00, "spacegroup": "No. 65", "formation_energy_uncorrected_kcal_per_mol_atoms": -44.80, "dft_energy_ev_per_cell": -51.932}



# 4
{"formula": "MgRuRh2", "functional": "PBE", "state": "optimized geometry", "lattice_angstrom": [[4.808, -0.006, 0.000], [1.766, 4.471, 0.000], [-3.287, -2.233, 2.707]], "species": ["Mg", "Rh", "Ru", "Rh"], "fractional_positions": [[0.750, 0.250, 0.500], [0.250, 0.750, 0.500], [0.500, 0.500, 0.000], [0.000, 0.000, 0.000]], "spacegroup": "No. 119", "ef_ev_per_atom": -0.08, "dft_energy_ev_per_cell": -25.884}



# 5
{"formula": "CoSbAu", "functional": "PBE", "state": "optimized geometry", "lattice_angstrom": [[5.535, -0.074, 0.081], [4.629, 3.038, 0.079], [0.906, 0.269, 3.100]], "species": ["Sb", "Co", "Au"], "fractional_positions": [[0.694, 0.694, 0.306], [0.321, 0.321, 0.679], [0.985, 0.985, 0.015]], "spacegroup": "No. 107", "formation_energy_uncorrected_kcal_per_mol_atoms": 5.24, "dft_energy_ev_per_cell": -13.824}



# 6
{"formula": "V6Ge3H", "functional": "PBE", "state": "optimized geometry", "lattice_angstrom": [[-2.164, -2.520, 5.902], [2.038, -4.658, 1.754], [3.458, -0.376, 4.103]], "species": ["V", "V", "Ge", "V", "Ge", "V", "V", "V", "Ge", "H"], "fractional_positions": [[0.633, 0.342, 0.817], [0.179, 0.708, 0.708], [0.235, 0.232, 0.232], [0.821, 0.292, 0.292], [0.000, 0.000, 0.000], [0.367, 0.658, 0.183], [0.367, 0.183, 0.658], [0.633, 0.817, 0.342], [0.765, 0.768, 0.768], [0.500, 0.500, 0.500]], "spacegroup": "No. 12", "dft_energy_ev_per_cell": -71.945}



# 7
{"formula": "Tm3MgIr4", "functional": "PBE", "state": "optimized geometry", "lattice_angstrom": [[-3.070, 2.787, 2.209], [-2.775, -3.700, 0.825], [6.084, -0.625, 4.227]], "species": ["Ir", "Mg", "Ir", "Ir", "Tm", "Tm", "Tm", "Ir"], "fractional_positions": [[0.377, 0.377, 0.755], [0.500, 0.000, 0.000], [0.623, 0.623, 0.245], [0.877, 0.877, 0.755], [0.747, 0.247, 0.493], [0.000, 0.500, 0.000], [0.253, 0.753, 0.507], [0.123, 0.123, 0.245]], "spacegroup": "No. 69", "ef_ev_per_atom": -0.78, "dft_energy_ev_per_cell": -56.668}



# 8
{"formula": "TbSmYCu", "functional": "PBE", "state": "optimized geometry", "lattice_angstrom": [[3.527, 0.000, 0.000], [0.000, 3.527, 0.000], [0.000, 0.000, 8.721]], "species": ["Y", "Sm", "Cu", "Tb"], "fractional_positions": [[0.500, 0.500, 0.376], [0.000, 0.000, 0.070], [0.000, 0.000, 0.573], [0.500, 0.500, 0.766]], "spacegroup": "No. 99", "ef_ev_per_atom": -0.09, "dft_energy_ev_per_cell": -20.287}



# 9
{"formula": "Sm7Te2Ru2", "functional": "PBE", "state": "optimized geometry", "lattice_angstrom": [[-1.473, -0.001, -3.740], [-0.076, -9.406, -2.128], [-8.064, -5.191, 1.016]], "species": ["Sm", "Sm", "Sm", "Ru", "Ru", "Sm", "Te", "Sm", "Sm", "Te", "Sm"], "fractional_positions": [[0.500, 0.021, 0.979], [0.182, 0.720, 0.916], [0.151, 0.113, 0.585], [0.259, 0.331, 0.151], [0.741, 0.849, 0.669], [0.849, 0.415, 0.887], [0.000, 0.758, 0.242], [0.631, 0.474, 0.264], [0.818, 0.084, 0.280], [0.500, 0.354, 0.646], [0.369, 0.736, 0.526]], "de_polymorph_ev_per_fu": 0.00, "spacegroup": "No. 44", "formation_energy_uncorrected_kcal_per_mol_atoms": -15.25, "dft_energy_ev_per_cell": -65.145}



# 10
{"formula": "ScTa3Tl", "functional": "PBE", "state": "optimized geometry", "lattice_angstrom": [[-1.776, 4.309, 1.161], [-2.562, -2.008, 3.531], [3.654, 0.686, 3.041]], "species": ["Ta", "Sc", "Ta", "Tl", "Ta"], "fractional_positions": [[0.000, 0.000, 0.500], [0.000, 0.000, 0.000], [0.000, 0.500, 0.000], [0.500, 0.500, 0.500], [0.500, 0.000, 0.000]], "de_polymorph_ev_per_fu": 0.00, "spacegroup": "No. 221", "ef_ev_per_atom": 1.83, "dft_energy_ev_per_cell": -35.103}



# 11
{"formula": "HgOsSeO2", "functional": "PBE", "state": "optimized geometry", "lattice_angstrom": [[3.814, 0.000, 0.000], [0.000, 6.968, 0.000], [0.000, 0.000, 3.814]], "species": ["Os", "O", "Se", "Hg", "O"], "fractional_positions": [[0.500, 0.500, 0.500], [0.500, 0.000, 0.000], [0.000, 0.000, 0.000], [0.000, 0.500, 0.000], [0.000, 0.000, 0.500]], "de_polymorph_ev_per_fu": 6.94, "spacegroup": "No. 123", "formation_energy_uncorrected_kcal_per_mol_atoms": 22.49, "dft_energy_ev_per_cell": -20.057}



# 12
{"formula": "Cr2PtRh3", "functional": "PBE", "state": "optimized geometry", "lattice_angstrom": [[-1.781, -5.300, 1.256], [2.526, 0.369, 5.130], [-4.825, 2.147, 2.223]], "species": ["Rh", "Rh", "Cr", "Cr", "Cr", "Rh", "Pt", "Rh", "Cr", "Pt", "Rh", "Rh"], "fractional_positions": [[0.750, 0.250, 0.250], [0.750, 0.750, 0.750], [0.000, 0.000, 0.000], [0.000, 0.500, 0.500], [0.500, 0.500, 0.000], [0.250, 0.750, 0.750], [0.750, 0.750, 0.250], [0.750, 0.250, 0.750], [0.500, 0.000, 0.500], [0.250, 0.250, 0.750], [0.250, 0.250, 0.250], [0.250, 0.750, 0.250]], "spacegroup": "No. 224", "ef_ev_per_atom": 0.18, "dft_energy_ev_per_cell": -92.551}



# 13
{"formula": "MgAsCl2", "functional": "PBE", "state": "optimized geometry", "lattice_angstrom": [[3.242, -0.016, 0.000], [-1.293, 2.974, 0.000], [0.000, 0.000, 12.179]], "species": ["Mg", "Cl", "As", "Cl"], "fractional_positions": [[0.500, 0.500, 0.250], [0.000, 0.000, 0.382], [0.500, 0.500, 0.750], [0.000, 0.000, 0.118]], "de_polymorph_ev_per_fu": 0.80, "spacegroup": "No. 65", "formation_energy_uncorrected_kcal_per_mol_atoms": -15.84, "dft_energy_ev_per_cell": -12.685}



# 14
{"formula": "SrLiTlHg", "functional": "PBE", "state": "optimized geometry", "lattice_angstrom": [[-0.437, -3.879, -3.039], [0.812, -0.704, 4.808], [-5.755, 1.697, -1.338]], "species": ["Tl", "Hg", "Li", "Sr"], "fractional_positions": [[0.832, 0.664, 0.136], [0.409, 0.819, 0.872], [0.106, 0.213, 0.961], [0.619, 0.237, 0.498]], "de_polymorph_ev_per_fu": 0.00, "spacegroup": "No. 8", "ef_ev_per_atom": -0.35, "dft_energy_ev_per_cell": -7.650}



# 15
{"formula": "Sc6PbS3", "functional": "PBE", "state": "optimized geometry", "lattice_angstrom": [[-2.213, 0.917, -2.637], [1.085, -9.645, -4.266], [-8.862, -1.290, 6.990]], "species": ["Sc", "S", "Pb", "S", "Sc", "Sc", "S", "Sc", "Sc", "Sc", "Sc", "Sc", "Sc", "Sc", "Sc", "Sc", "S", "S", "Pb", "S"], "fractional_positions": [[0.750, 0.373, 0.038], [0.250, 0.527, 0.151], [0.250, 0.948, 0.325], [0.250, 0.854, 0.935], [0.750, 0.530, 0.636], [0.250, 0.084, 0.907], [0.750, 0.146, 0.065], [0.250, 0.807, 0.534], [0.250, 0.187, 0.222], [0.750, 0.693, 0.243], [0.750, 0.193, 0.466], [0.250, 0.307, 0.757], [0.250, 0.470, 0.364], [0.750, 0.813, 0.778], [0.250, 0.627, 0.962], [0.750, 0.916, 0.093], [0.750, 0.473, 0.849], [0.250, 0.364, 0.550], [0.750, 0.052, 0.675], [0.750, 0.636, 0.450]], "spacegroup": "No. 11", "formation_energy_uncorrected_kcal_per_mol_atoms": -27.64, "dft_energy_ev_per_cell": -132.131}



# 16
{"formula": "KYMn", "functional": "PBE", "state": "optimized geometry", "lattice_angstrom": [[5.306, 0.000, 0.000], [2.653, 4.595, 0.000], [2.653, 1.532, 4.332]], "species": ["Mn", "K", "Y"], "fractional_positions": [[0.750, 0.750, 0.750], [0.500, 0.500, 0.500], [0.000, 0.000, 0.000]], "de_polymorph_ev_per_fu": 1.63, "spacegroup": "No. 216", "ef_ev_per_atom": 1.08, "dft_energy_ev_per_cell": -13.476}



# 17
{"formula": "ScMn7C2", "functional": "PBE", "state": "optimized geometry", "lattice_angstrom": [[-1.907, 0.817, -3.529], [-3.637, -4.528, 0.918], [-1.630, 5.246, 2.095]], "species": ["Sc", "Mn", "Mn", "Mn", "Mn", "Mn", "Mn", "C", "Mn", "C"], "fractional_positions": [[0.000, 0.000, 0.000], [0.500, 0.500, 0.500], [0.500, 0.669, 0.948], [0.500, 0.331, 0.052], [0.000, 0.688, 0.312], [0.500, 0.948, 0.669], [0.000, 0.312, 0.688], [0.500, 0.300, 0.700], [0.500, 0.052, 0.331], [0.500, 0.700, 0.300]], "spacegroup": "No. 65", "ef_ev_per_atom": 0.19, "dft_energy_ev_per_cell": -87.032}



# 18
{"formula": "NaAcAu3", "functional": "PBE", "state": "optimized geometry", "lattice_angstrom": [[5.254, 0.000, -0.006], [0.000, 5.497, 0.000], [-2.636, -2.748, 9.100]], "species": ["Na", "Ac", "Au", "Au", "Au", "Au", "Ac", "Au", "Au", "Na"], "fractional_positions": [[0.378, 0.129, 0.258], [0.861, 0.613, 0.226], [0.545, 0.293, 0.587], [0.455, 0.707, 0.413], [0.960, 0.210, 0.420], [0.218, 0.968, 0.937], [0.139, 0.387, 0.774], [0.040, 0.790, 0.580], [0.782, 0.032, 0.063], [0.622, 0.871, 0.742]], "de_polymorph_ev_per_fu": 0.74, "spacegroup": "No. 12", "ef_ev_per_atom": -0.46, "dft_energy_ev_per_cell": -35.087}



# 19
{"formula": "ZnPt3N", "functional": "PBE", "state": "optimized geometry", "lattice_angstrom": [[-0.177, 3.421, -2.399], [-3.824, 0.835, 1.473], [1.684, 2.256, 3.093]], "species": ["Pt", "Pt", "Zn", "N", "Pt"], "fractional_positions": [[0.000, 0.000, 0.500], [0.500, 0.000, 0.000], [0.500, 0.500, 0.500], [0.000, 0.000, 0.000], [0.000, 0.500, 0.000]], "de_polymorph_ev_per_fu": 0.00, "spacegroup": "No. 221", "formation_energy_uncorrected_kcal_per_mol_atoms": 8.82, "dft_energy_ev_per_cell": -25.810}



# 20
{"formula": "MgTi2Nb2Rh5", "functional": "PBE", "state": "optimized geometry", "lattice_angstrom": [[3.711, 0.000, 0.000], [0.000, 9.306, 0.000], [0.000, 0.000, 9.306]], "species": ["Rh", "Ti", "Nb", "Rh", "Rh", "Ti", "Rh", "Nb", "Ti", "Ti", "Rh", "Mg", "Rh", "Mg", "Rh", "Rh", "Rh", "Nb", "Rh", "Nb"], "fractional_positions": [[0.500, 0.435, 0.295], [0.000, 0.626, 0.874], [0.000, 0.825, 0.675], [0.500, 0.065, 0.795], [0.500, 0.000, 0.500], [0.000, 0.126, 0.626], [0.500, 0.935, 0.205], [0.000, 0.175, 0.325], [0.000, 0.374, 0.126], [0.000, 0.874, 0.374], [0.500, 0.565, 0.705], [0.000, 0.500, 0.500], [0.500, 0.795, 0.935], [0.000, 0.000, 0.000], [0.500, 0.500, 0.000], [0.500, 0.705, 0.435], [0.500, 0.295, 0.565], [0.000, 0.325, 0.825], [0.500, 0.205, 0.065], [0.000, 0.675, 0.175]], "spacegroup": "No. 127", "ef_ev_per_atom": -0.32, "dft_energy_ev_per_cell": -154.982}



# 21
{"formula": "CuRhS2", "functional": "PBE", "state": "optimized geometry", "lattice_angstrom": [[-3.468, 4.645, -11.777], [5.345, 0.352, -4.206], [-0.794, -6.755, 0.340]], "species": ["Rh", "Cu", "S", "S", "S", "S", "S", "Cu", "S", "Rh", "S", "Rh", "Rh", "S", "S", "S", "S", "Cu", "Rh", "Cu", "Rh", "Rh", "S", "S", "Cu", "Cu", "Rh", "Cu", "S", "S", "S", "Cu"], "fractional_positions": [[0.387, 0.922, 0.137], [0.131, 0.104, 0.162], [0.521, 0.433, 0.842], [0.479, 0.567, 0.158], [0.750, 0.641, 0.141], [0.250, 0.781, 0.281], [0.245, 0.311, 0.352], [0.119, 0.170, 0.774], [0.250, 0.359, 0.859], [0.613, 0.078, 0.863], [0.021, 0.658, 0.067], [0.356, 0.402, 0.206], [0.644, 0.598, 0.794], [0.255, 0.852, 0.811], [0.745, 0.148, 0.189], [0.484, 0.904, 0.703], [0.016, 0.203, 0.404], [0.369, 0.662, 0.604], [0.856, 0.294, 0.098], [0.381, 0.274, 0.670], [0.144, 0.706, 0.902], [0.887, 0.363, 0.578], [0.755, 0.689, 0.648], [0.984, 0.797, 0.596], [0.631, 0.338, 0.396], [0.869, 0.896, 0.838], [0.113, 0.637, 0.422], [0.881, 0.830, 0.226], [0.516, 0.096, 0.297], [0.979, 0.342, 0.933], [0.750, 0.219, 0.719], [0.619, 0.726, 0.330]], "spacegroup": "No. 15", "formation_energy_uncorrected_kcal_per_mol_atoms": -2.28, "dft_energy_ev_per_cell": -160.778}



# 22
{"formula": "Ba2ErMnSe5", "functional": "PBE", "state": "optimized geometry", "lattice_angstrom": [[-0.187, 4.006, -1.513], [-8.780, -3.437, -1.946], [-4.326, 4.302, 11.922]], "species": ["Ba", "Se", "Mn", "Er", "Ba", "Se", "Se", "Ba", "Mn", "Se", "Ba", "Se", "Se", "Se", "Se", "Se", "Se", "Er"], "fractional_positions": [[0.126, 0.252, 0.692], [0.040, 0.080, 0.014], [0.560, 0.121, 0.927], [0.199, 0.398, 0.029], [0.874, 0.748, 0.192], [0.305, 0.609, 0.667], [0.695, 0.391, 0.167], [0.124, 0.248, 0.334], [0.440, 0.879, 0.427], [0.655, 0.310, 0.513], [0.876, 0.752, 0.834], [0.960, 0.920, 0.514], [0.498, 0.996, 0.270], [0.312, 0.625, 0.379], [0.502, 0.004, 0.770], [0.345, 0.690, 0.013], [0.688, 0.375, 0.879], [0.801, 0.602, 0.529]], "spacegroup": "No. 36", "formation_energy_uncorrected_kcal_per_mol_atoms": -35.83, "dft_energy_ev_per_cell": -97.968}



# 23
{"formula": "Ba2AlAg", "functional": "PBE", "state": "optimized geometry", "lattice_angstrom": [[4.803, 0.007, 0.044], [2.397, 4.163, 0.044], [2.284, 1.323, 8.583]], "species": ["Ag", "Al", "Ba", "Ba"], "fractional_positions": [[0.458, 0.458, 0.625], [0.792, 0.792, 0.625], [0.043, 0.043, 0.875], [0.207, 0.207, 0.375]], "spacegroup": "No. 8", "ef_ev_per_atom": -0.19, "dft_energy_ev_per_cell": -11.207}



no.,V (Å³ per cell)
1,65.47
2,86.81
3,162.77
4,58.21
5,52.95
6,136.27
7,146.64
8,108.46
9,312.54
10,110.79
11,101.34
12,188.14
13,117.18
14,114.42
15,418.16
16,105.63
17,125.66
18,262.68
19,73.14
20,321.37
21,527.11
22,538.77
23,170.93